Computed, not measured: an optimized crystal structure of RbGaMo3 at the PBE-GGA level of DFT.

Results
The formation energy from the elements is 10.12 eV/f.u.

```
5
Lattice="4.866 0.000 0.000 0.000 4.866 0.000 0.000 0.000 4.866" Properties=species:S:1:pos:R:3 pbc="T T T"
Rb 0.000 0.000 0.000
Ga 2.433 2.433 2.433
Mo 0.000 2.433 2.433
Mo 2.433 0.000 2.433
Mo 2.433 2.433 0.000
```

---

Computed, not measured: an optimized crystal structure of NaGaAs2Br at the PBE-GGA level of DFT.

```
5
Lattice="4.848 0.000 0.000 0.000 4.848 0.000 0.000 0.000 6.275" Properties=species:S:1:pos:R:3 pbc="T T T"
Na 0.000 0.000 0.000
Ga 2.424 2.424 3.138
As 0.000 2.424 3.138
As 2.424 0.000 3.138
Br 2.424 2.424 0.000
```

---

Computed, not measured: an optimized crystal structure of Ag4C23 at the PBE-GGA level of DFT.

Results
The formation energy from the elements is 29.60 eV/f.u.

```
54
Lattice="6.908 0.000 0.000 0.000 6.908 0.000 0.000 0.000 10.870" Properties=species:S:1:pos:R:3 pbc="T T T"
Ag 0.000 0.000 2.717
Ag 0.000 0.000 8.152
Ag 0.000 3.454 0.000
Ag 2.132 3.454 5.435
Ag 3.454 0.000 5.435
Ag 3.454 2.132 0.000
Ag 3.454 4.776 0.000
Ag 4.776 3.454 5.435
C 0.000 1.544 5.435
C 0.000 2.015 3.776
C 0.000 2.015 7.094
C 0.000 4.893 3.776
C 0.000 4.893 7.094
C 0.000 5.364 5.435
C 0.645 1.227 0.000
C 0.645 5.681 0.000
C 1.227 0.645 5.435
C 1.227 6.263 5.435
C 1.350 2.189 3.123
C 1.350 2.189 7.747
C 1.350 4.719 3.123
C 1.350 4.719 7.747
C 1.544 0.000 0.000
C 2.015 0.000 1.659
C 2.015 0.000 9.211
C 2.048 3.454 3.336
C 2.048 3.454 7.534
C 2.189 1.350 2.312
C 2.189 1.350 8.558
C 2.189 5.558 2.312
C 2.189 5.558 8.558
C 3.454 2.048 2.099
C 3.454 2.048 8.771
C 3.454 3.454 2.717
C 3.454 3.454 8.152
C 3.454 4.860 2.099
C 3.454 4.860 8.771
C 4.719 1.350 2.312
C 4.719 1.350 8.558
C 4.719 5.558 2.312
C 4.719 5.558 8.558
C 4.860 3.454 3.336
C 4.860 3.454 7.534
C 4.893 0.000 1.659
C 4.893 0.000 9.211
C 5.364 0.000 0.000
C 5.558 2.189 3.123
C 5.558 2.189 7.747
C 5.558 4.719 3.123
C 5.558 4.719 7.747
C 5.681 0.645 5.435
C 5.681 6.263 5.435
C 6.263 1.227 0.000
C 6.263 5.681 0.000
```

---

Computed, not measured: an optimized crystal structure of PuInHgPb at the PBE-GGA level of DFT.

Results
The formation energy from the elements is -0.27 eV/f.u.

```
4
Lattice="0.000 3.778 3.778 3.778 0.000 3.778 3.778 3.778 0.000" Properties=species:S:1:pos:R:3 pbc="T T T"
Pu 0.000 0.000 0.000
In 3.778 3.778 3.778
Hg 1.889 1.889 1.889
Pb 5.667 5.667 5.667
```

---

Computed, not measured: an optimized crystal structure of Sc2Pd2W at the PBE-GGA level of DFT.

Results
The formation energy from the elements is -1.16 eV/f.u.

```
10
Lattice="7.547 0.000 0.000 0.000 7.547 0.000 0.000 0.000 3.139" Properties=species:S:1:pos:R:3 pbc="T T T"
Sc 1.288 2.485 0.000
Sc 2.485 6.258 0.000
Sc 5.062 1.288 0.000
Sc 6.258 5.062 0.000
Pd 0.983 4.757 1.570
Pd 2.790 0.983 1.570
Pd 4.757 6.563 1.570
Pd 6.563 2.790 1.570
W 0.000 0.000 1.570
W 3.773 3.773 1.570
```

---

Computed, not measured: an optimized crystal structure of Sr2LiMn at the PBE-GGA level of DFT.

Results
The formation energy from the elements is 1.49 eV/f.u.

```
4
Lattice="-1.996 2.833 5.909 1.996 -2.833 5.909 1.996 2.833 -5.909" Properties=species:S:1:pos:R:3 pbc="T T T"
Sr 0.000 0.000 0.000
Sr 0.000 2.833 2.509
Li 0.000 0.000 5.012
Mn 1.996 0.000 2.987
```

---

Computed, not measured: an optimized crystal structure of V2Te6Os at the PBE-GGA level of DFT.

```
18
Lattice="7.299 -6.202 0.000 7.299 6.202 0.000 -0.441 0.000 6.216" Properties=species:S:1:pos:R:3 pbc="T T T"
V 2.826 0.043 1.195
V 2.606 -0.043 4.303
V 11.551 0.043 1.913
V 11.331 -0.043 5.021
Te 4.903 4.123 3.555
Te 5.970 4.601 0.464
Te 8.408 4.601 2.644
Te 4.521 0.664 5.949
Te 9.034 4.123 5.770
Te 4.741 -0.664 2.841
Te 9.416 0.664 3.375
Te 5.123 -4.123 0.446
Te 9.636 -0.664 0.267
Te 5.750 -4.601 3.572
Te 8.187 -4.601 5.752
Te 9.254 -4.123 2.662
Os 6.968 5.637 4.662
Os 7.189 -5.637 1.554
```

---

Computed, not measured: an optimized crystal structure of MnCoS4 at the PBE-GGA level of DFT.

```
12
Lattice="5.436 0.000 0.000 0.000 5.441 0.000 -0.023 0.000 5.448" Properties=species:S:1:pos:R:3 pbc="T T T"
Mn 0.000 0.000 0.000
Mn -0.011 2.720 2.724
Co 2.707 0.000 2.724
Co 2.718 2.720 0.000
S 0.597 0.653 3.388
S 0.608 2.068 0.663
S 2.036 3.349 3.345
S 2.047 4.812 0.621
S 3.366 0.628 4.828
S 3.378 2.092 2.103
S 4.805 3.373 4.785
S 4.817 4.788 2.061
```

---

Computed, not measured: an optimized crystal structure of TcNiBr4 at the PBE-GGA level of DFT.

```
6
Lattice="0.000 4.341 4.341 4.341 0.000 4.341 4.341 4.341 0.000" Properties=species:S:1:pos:R:3 pbc="T T T"
Tc 0.000 0.000 0.000
Ni 2.171 2.171 2.171
Br 5.426 3.257 3.257
Br 3.257 5.426 3.257
Br 3.257 3.257 5.426
Br 5.426 5.426 5.426
```

---

Computed, not measured: an optimized crystal structure of ScTc2Se at the PBE-GGA level of DFT.

```
4
Lattice="2.556 -4.175 0.000 2.556 4.175 0.000 0.000 0.000 3.108" Properties=species:S:1:pos:R:3 pbc="T T T"
Sc 0.000 0.000 0.000
Tc 1.278 2.087 1.554
Tc 1.278 -2.087 1.554
Se 2.556 0.000 0.000
```

---

Computed, not measured: an optimized crystal structure of Rb4Na4Tl at the PBE-GGA level of DFT.

Results
The formation energy from the elements is 0.44 eV/f.u.

```
9
Lattice="-4.040 4.040 8.276 4.040 -4.040 8.276 4.040 4.040 -8.276" Properties=species:S:1:pos:R:3 pbc="T T T"
Rb 2.369 -2.369 6.612
Rb 1.672 1.672 1.664
Rb -2.369 2.369 6.612
Rb 2.369 2.369 9.940
Na 2.602 2.602 -2.567
Na 1.438 -1.438 10.843
Na 1.438 1.438 5.709
Na -1.438 1.438 10.843
Tl 0.000 0.000 8.276
```

---

Computed, not measured: an optimized crystal structure of Nd2P7Ru12 at the PBE-GGA level of DFT.

Results
The formation energy from the elements is -15.47 eV/f.u.

```
21
Lattice="9.473 0.000 0.000 -4.737 8.204 0.000 0.000 0.000 3.971" Properties=species:S:1:pos:R:3 pbc="T T T"
Nd 0.000 0.000 0.000
Nd 0.000 5.469 1.985
P -1.266 3.644 0.000
P 1.513 1.819 1.985
P -0.948 7.479 0.000
P 2.214 5.286 0.000
P 4.737 2.735 0.000
P 7.141 0.401 1.985
P 5.555 5.984 1.985
Ru -0.800 2.327 1.985
Ru -2.426 5.672 0.000
Ru -2.321 7.734 1.985
Ru 1.037 3.267 0.000
Ru 2.941 1.412 0.000
Ru 3.183 3.449 1.985
Ru 4.894 1.032 1.985
Ru 1.388 7.469 0.000
Ru 3.122 6.347 1.985
Ru 4.489 4.951 0.000
Ru 6.780 1.841 0.000
Ru 6.132 3.723 1.985
```

---

Number 1: raw total energy -5.274 eV/atom, total moment 1.86 Bohr magnetons per cell. Number 2: raw total energy -3.032 eV/atom, total moment 0.12 Bohr magnetons per cell. Number 3: raw total energy -7.183 eV/atom, total moment 0.00 Bohr magnetons per cell. Number 4: raw total energy -5.338 eV/atom, total moment 5.73 Bohr magnetons per cell. Number 5: raw total energy -7.431 eV/atom, total moment 0.96 Bohr magnetons per cell. Number 6: raw total energy -3.238 eV/atom, total moment 3.73 Bohr magnetons per cell. Number 7: raw total energy -5.476 eV/atom, total moment 2.44 Bohr magnetons per cell. Number 8: raw total energy -5.912 eV/atom, total moment 0.08 Bohr magnetons per cell. Number 9: raw total energy -2.294 eV/atom, total moment 4.74 Bohr magnetons per cell. Number 10: raw total energy -7.557 eV/atom, total moment 0.00 Bohr magnetons per cell. Number 11: raw total energy -1.230 eV/atom, total moment 0.00 Bohr magnetons per cell. Number 12: raw total energy -8.294 eV/atom, total moment 0.00 Bohr magnetons per cell.